! FeCo4H5 (PBE, relaxed); values from VASP
&SYSTEM
  ibrav = 0, nat = 10, ntyp = 3
/
ATOMIC_SPECIES
Fe 55.84 Fe.upf
Co 58.93 Co.upf
H 1.01 H.upf
ATOMIC_POSITIONS angstrom
Fe 0.000 0.000 0.000
Co 3.530 1.182 0.000
Co 1.182 2.331 0.000
Co 1.748 0.600 1.859
Co -0.600 1.748 1.859
H 1.800 0.595 0.000
H 2.336 -1.131 1.859
H 0.000 0.000 1.859
H 0.595 4.061 0.000
H 1.131 2.336 1.859
CELL_PARAMETERS angstrom
-2.930 2.930 1.859
2.930 -2.930 1.859
2.930 2.930 -1.859
! DOS(E_F) (states/eV per atom): 0.5994
! Mass density (g/cm3): 7.715
! Energy (eV for the cell shown): -53.736